Density functional theory data (PBE) for an optimized crystal structure of NaRhIN2.

abc: 4.2478 5.5152 4.2478
angles: 90.00 90.00 90.00
Closest atoms and distances in Å follow each position.
Element x y z (fractional)
N  0.5000  0.0000  0.0000  2 I 2.12
N  0.0000  0.0000  0.5000  2 I 2.12
Na  0.0000  0.5000  0.0000  2 I 2.76, 4 Rh 3.00
I  0.0000  0.0000  0.0000  4 N 2.12
Rh  0.5000  0.5000  0.5000  4 Na 3.00

Values from the calculation:
Raw total energy (eV per atom): -3.143